# 1
CaScGe2Pd5 | PBE | optimized geometry

The crystal system is tetragonal. The formation energy is -0.6360 eV per atom.

The space group is P4/mmm (No. 123) and the conventional cell measures 4.1888, 4.1888 and 9.0910 Å, with angles of 90.00, 90.00 and 90.00 degrees. Symmetry generates all atoms from Ca at (0.0000, 0.0000, 0.0000), Sc at (0.0000, 0.0000, 0.5000), Ge at (0.5000, 0.5000, 0.3682), Pd at (0.0000, 0.5000, 0.2313) and Pd at (0.5000, 0.5000, 0.0000).

# 2
Cr2FeTe | PBE | optimized geometry

The crystal system is tetragonal. For the energy above the most stable polymorph in this dataset, the calculation gives 0.0369 eV per atom. For the uncorrected formation energy, the calculation gives 38.2 kJ/mol of atoms.

The space group is I4/mmm (No. 139) and the conventional cell measures 3.6672, 3.6672 and 8.0224 Å, with angles of 90.00, 90.00 and 90.00 degrees. Symmetry generates all atoms from Cr at (0.0000, 0.5000, 0.2500), Fe at (0.0000, 0.0000, 0.0000) and Te at (0.0000, 0.0000, 0.5000).

# 3
NiSn3W | PBE | optimized geometry

The crystal system is cubic. The formation energy is 1.0022 eV per atom. For the energy above the most stable polymorph in this dataset, the calculation gives 0.0054 eV per atom.

The space group is Pm-3m (No. 221) and the conventional cell measures 5.2347, 5.2347 and 5.2347 Å, with angles of 90.00, 90.00 and 90.00 degrees. Symmetry generates all atoms from Ni at (0.0000, 0.0000, 0.0000), Sn at (0.0000, 0.5000, 0.5000) and W at (0.5000, 0.5000, 0.5000).

# 4
TbErCSe | PBE | optimized geometry

The crystal system is trigonal. For the uncorrected formation energy, the calculation gives -107.3 kJ/mol of atoms.

The space group is R3m (No. 160, hexagonal axes) and the conventional cell measures 3.7250, 3.7250 and 20.1402 Å, with angles of 90.00, 90.00 and 120.00 degrees. Symmetry generates all atoms from Tb at (0.0000, 0.0000, 0.0000), Er at (0.0000, 0.0000, 0.2004), C at (0.0000, 0.0000, 0.5987) and Se at (0.0000, 0.0000, 0.7695).

# 5
GdTiCdHg | PBE | optimized geometry

The crystal system is cubic. The formation energy is -0.0901 eV per atom.

The space group is F-43m (No. 216) and the conventional cell measures 7.1850, 7.1850 and 7.1850 Å, with angles of 90.00, 90.00 and 90.00 degrees. Symmetry generates all atoms from Gd at (0.0000, 0.0000, 0.0000), Ti at (0.0000, 0.0000, 0.5000), Cd at (0.2500, 0.2500, 0.7500) and Hg at (0.2500, 0.2500, 0.2500).

# 6
Ce12ScCo6 | PBE | optimized geometry

The crystal system is trigonal. The formation energy is 0.0384 eV per atom.

The space group is R-3m (No. 166, hexagonal axes) and the conventional cell measures 9.9999, 9.9999 and 14.5900 Å, with angles of 90.00, 90.00 and 120.00 degrees. Symmetry generates all atoms from Ce at (0.0420, 0.5210, 0.4028), Ce at (0.0724, 0.5362, 0.0977), Sc at (0.0000, 0.0000, 0.0000) and Co at (0.0928, 0.5464, 0.7804).

# 7
ZrCuCl2 | PBE | optimized geometry

The crystal system is cubic. For the energy above the most stable polymorph in this dataset, the calculation gives 0.8016 eV per atom. For the uncorrected formation energy, the calculation gives -3.4 kJ/mol of atoms.

The space group is F-43m (No. 216) and the conventional cell measures 6.7082, 6.7082 and 6.7082 Å, with angles of 90.00, 90.00 and 90.00 degrees. Symmetry generates all atoms from Zr at (0.0000, 0.0000, 0.0000), Cu at (0.2500, 0.2500, 0.2500), Cl at (0.0000, 0.0000, 0.5000) and Cl at (0.2500, 0.2500, 0.7500).

# 8
Tm3TiFe8 | PBE | optimized geometry

The crystal system is trigonal. The formation energy is -0.1706 eV per atom.

The space group is R3m (No. 160, hexagonal axes) and the conventional cell measures 5.0157, 5.0157 and 24.5380 Å, with angles of 90.00, 90.00 and 120.00 degrees. Symmetry generates all atoms from Tm at (0.0000, 0.0000, 0.0000), Tm at (0.0000, 0.0000, 0.1263), Tm at (0.0000, 0.0000, 0.5037), Ti at (0.0000, 0.0000, 0.6271), Fe at (0.0000, 0.0000, 0.3137), Fe at (0.0000, 0.0000, 0.8140), Fe at (0.0008, 0.5004, 0.5660) and Fe at (0.1678, 0.3357, 0.3952).

# 9
MoH3S | PBE | optimized geometry

The crystal system is cubic. For the energy above the most stable polymorph in this dataset, the calculation gives 0.5308 eV per atom.

The space group is Pm-3m (No. 221) and the conventional cell measures 3.3889, 3.3889 and 3.3889 Å, with angles of 90.00, 90.00 and 90.00 degrees. Symmetry generates all atoms from Mo at (0.0000, 0.0000, 0.0000), H at (0.0000, 0.5000, 0.5000) and S at (0.5000, 0.5000, 0.5000).

# 10
Rb2CaF | PBE | optimized geometry

The crystal system is cubic. For the energy above the most stable polymorph in this dataset, the calculation gives 0.6123 eV per atom. For the uncorrected formation energy, the calculation gives -43.2 kJ/mol of atoms.

The space group is Fm-3m (No. 225) and the conventional cell measures 9.4016, 9.4016 and 9.4016 Å, with angles of 90.00, 90.00 and 90.00 degrees. Symmetry generates all atoms from Rb at (0.2500, 0.2500, 0.2500), Ca at (0.0000, 0.0000, 0.0000) and F at (0.0000, 0.0000, 0.5000).

# 11
ErLuGa2 | PBE | optimized geometry

The crystal system is tetragonal. The formation energy is -0.5652 eV per atom.

The space group is P4/mmm (No. 123) and the conventional cell measures 3.5187, 3.5187 and 7.0354 Å, with angles of 90.00, 90.00 and 90.00 degrees. Symmetry generates all atoms from Er at (0.0000, 0.0000, 0.0000), Lu at (0.0000, 0.0000, 0.5000) and Ga at (0.5000, 0.5000, 0.2546).

# 12
YBe2O2 | PBE | optimized geometry

The crystal system is tetragonal. For the energy above the most stable polymorph in this dataset, the calculation gives 0.0000 eV per atom. For the uncorrected formation energy, the calculation gives -143.0 kJ/mol of atoms.

The space group is I4/mmm (No. 139) and the conventional cell measures 3.3907, 3.3907 and 9.3518 Å, with angles of 90.00, 90.00 and 90.00 degrees. Symmetry generates all atoms from Y at (0.0000, 0.0000, 0.0000), Be at (0.0000, 0.0000, 0.3068) and O at (0.0000, 0.5000, 0.2500).

no.,mass density (g/cm³)
1,7.94
2,8.85
3,6.93
4,8.59
5,9.28
6,8.20
7,4.97
8,9.33
9,5.59
10,1.84
11,9.18
12,4.29